Here is Mg2Sc2Pd after structural relaxation from Alexandria. Energies are from PBE.

Structure (POSCAR):
```
Mg2Sc2Pd
1.0
-0.325 2.320 2.341
-3.296 -0.250 -0.210
1.897 -7.937 5.788
Mg Pd Sc
2 1 2
direct
0.198 0.198 0.395
0.802 0.802 0.605
0.000 0.000 0.000
0.417 0.417 0.834
0.583 0.583 0.166
```

Calculated values
* formation enthalpy at 0 K: -382 meV/atom
* size of the total moment: 0.00 μB per formula unit
* energy relative to the lowest polymorph listed for this composition: 0.00 eV per formula unit
* energy: -4.591 eV/atom